# 1
Compound: La5ZnHg2
Source: Alexandria via LeMat-Bulk
Functional: PBE
Structure: optimized geometry

Computed properties:
The energy of formation is -0.312 eV per atom. The total energy comes out at -3.6262 eV per atom.

Geometry as CIF:
```
data_La5ZnHg2
_chemical_formula_sum 'La10 Zn2 Hg4'
_space_group_name_H-M_alt 'P b a m'
_space_group_IT_number 55
_space_group_name_Hall '-P 2 2ab'
_cell_length_a 6.8447
_cell_length_b 13.1793
_cell_length_c 5.4522
_cell_angle_alpha 90.00
_cell_angle_beta 90.00
_cell_angle_gamma 90.00
loop_
_atom_site_label
_atom_site_type_symbol
_atom_site_fract_x
_atom_site_fract_y
_atom_site_fract_z
_atom_site_occupancy
La1 La 0.0000 0.0000 0.0000 1
La2 La 0.1441 0.4008 0.5000 1
La3 La 0.1584 0.7186 0.0000 1
Zn1 Zn 0.0000 0.5000 0.0000 1
Hg1 Hg 0.1131 0.1449 0.5000 1
```



# 2
Compound: Nd4HoEr2Mg
Source: Alexandria via LeMat-Bulk
Functional: PBE
Structure: optimized geometry

Computed properties:
The energy of formation is 0.007 eV per atom. The total energy comes out at -4.2896 eV per atom.

Geometry as CIF:
```
data_Nd4HoEr2Mg
_chemical_formula_sum 'Nd4 Ho1 Er2 Mg1'
_space_group_name_H-M_alt 'P 4/m m m'
_space_group_IT_number 123
_space_group_name_Hall '-P 4 2'
_cell_length_a 5.0809
_cell_length_b 5.0809
_cell_length_c 9.9079
_cell_angle_alpha 90.00
_cell_angle_beta 90.00
_cell_angle_gamma 90.00
loop_
_atom_site_label
_atom_site_type_symbol
_atom_site_fract_x
_atom_site_fract_y
_atom_site_fract_z
_atom_site_occupancy
Nd1 Nd 0.0000 0.5000 0.2457 1
Ho1 Ho 0.0000 0.0000 0.5000 1
Er1 Er 0.0000 0.0000 0.0000 1
Er2 Er 0.5000 0.5000 0.5000 1
Mg1 Mg 0.5000 0.5000 0.0000 1
```



# 3
Compound: TaReW
Source: Alexandria via LeMat-Bulk
Functional: PBE
Structure: optimized geometry

Computed properties:
The energy of formation is 0.353 eV per atom. The total energy comes out at -12.0650 eV per atom. As for the excess energy over the best structure of this formula in the dataset: 576.6 meV/atom.

Geometry as CIF:
```
data_TaReW
_chemical_formula_sum 'Ta4 Re4 W4'
_space_group_name_H-M_alt 'P n m a'
_space_group_IT_number 62
_space_group_name_Hall '-P 2ac 2n'
_cell_length_a 8.0752
_cell_length_b 2.6250
_cell_length_c 9.4517
_cell_angle_alpha 90.00
_cell_angle_beta 90.00
_cell_angle_gamma 90.00
loop_
_atom_site_label
_atom_site_type_symbol
_atom_site_fract_x
_atom_site_fract_y
_atom_site_fract_z
_atom_site_occupancy
Ta1 Ta 0.2416 0.2500 0.1235 1
Re1 Re 0.1005 0.7500 0.8813 1
W1 W 0.0678 0.7500 0.3667 1
```



# 4
Compound: AlCdAu2
Source: Alexandria via LeMat-Bulk
Functional: PBE
Structure: optimized geometry

Computed properties:
The energy of formation is -0.097 eV per atom. The total energy comes out at -2.8996 eV per atom. As for the excess energy over the best structure of this formula in the dataset: 170.4 meV/atom.

Geometry as CIF:
```
data_AlCdAu2
_chemical_formula_sum 'Al4 Cd4 Au8'
_space_group_name_H-M_alt 'I -4 2 d'
_space_group_IT_number 122
_space_group_name_Hall 'I -4 2bw'
_cell_length_a 7.5845
_cell_length_b 7.5845
_cell_length_c 5.5642
_cell_angle_alpha 90.00
_cell_angle_beta 90.00
_cell_angle_gamma 90.00
loop_
_atom_site_label
_atom_site_type_symbol
_atom_site_fract_x
_atom_site_fract_y
_atom_site_fract_z
_atom_site_occupancy
Al1 Al 0.0000 0.0000 0.0000 1
Cd1 Cd 0.0000 0.0000 0.5000 1
Au1 Au 0.2099 0.7500 0.1250 1
```



# 5
Compound: LiZnTe2
Source: Alexandria via LeMat-Bulk
Functional: PBE
Structure: optimized geometry

Computed properties:
The total energy comes out at -2.6544 eV per atom. Its energy relative to the elements, uncorrected is -1.146 eV per formula unit.

Geometry as CIF:
```
data_LiZnTe2
_chemical_formula_sum 'Li1 Zn1 Te2'
_space_group_name_H-M_alt 'P 1 2/m 1'
_space_group_IT_number 10
_space_group_name_Hall '-P 2y'
_cell_length_a 4.2331
_cell_length_b 3.9556
_cell_length_c 6.1939
_cell_angle_alpha 90.00
_cell_angle_beta 105.80
_cell_angle_gamma 90.00
loop_
_atom_site_label
_atom_site_type_symbol
_atom_site_fract_x
_atom_site_fract_y
_atom_site_fract_z
_atom_site_occupancy
Li1 Li 0.0000 0.0000 0.0000 1
Zn1 Zn 0.5000 0.0000 0.5000 1
Te1 Te 0.2599 0.5000 0.7429 1
```



# 6
Compound: BeNiAs2
Source: Alexandria via LeMat-Bulk
Functional: PBE
Structure: optimized geometry

Computed properties:
The energy of formation is 0.473 eV per atom. The total energy comes out at -4.2282 eV per atom.

Geometry as CIF:
```
data_BeNiAs2
_chemical_formula_sum 'Be4 Ni4 As8'
_space_group_name_H-M_alt 'F -4 3 m'
_space_group_IT_number 216
_space_group_name_Hall 'F -4 2 3'
_cell_length_a 6.1493
_cell_length_b 6.1493
_cell_length_c 6.1493
_cell_angle_alpha 90.00
_cell_angle_beta 90.00
_cell_angle_gamma 90.00
loop_
_atom_site_label
_atom_site_type_symbol
_atom_site_fract_x
_atom_site_fract_y
_atom_site_fract_z
_atom_site_occupancy
Be1 Be 0.0000 0.0000 0.0000 1
Ni1 Ni 0.2500 0.2500 0.7500 1
As1 As 0.0000 0.0000 0.5000 1
As2 As 0.2500 0.2500 0.2500 1
```



# 7
Compound: KPmBr3
Source: Alexandria via LeMat-Bulk
Functional: PBE
Structure: optimized geometry

Computed properties:
The total energy comes out at -3.7202 eV per atom. Its energy relative to the elements, uncorrected is -7.734 eV per formula unit. As for the excess energy over the best structure of this formula in the dataset: 131.5 meV/atom.

Geometry as CIF:
```
data_KPmBr3
_chemical_formula_sum 'K1 Pm1 Br3'
_space_group_name_H-M_alt 'P m -3 m'
_space_group_IT_number 221
_space_group_name_Hall '-P 4 2 3'
_cell_length_a 5.7838
_cell_length_b 5.7838
_cell_length_c 5.7838
_cell_angle_alpha 90.00
_cell_angle_beta 90.00
_cell_angle_gamma 90.00
loop_
_atom_site_label
_atom_site_type_symbol
_atom_site_fract_x
_atom_site_fract_y
_atom_site_fract_z
_atom_site_occupancy
K1 K 0.0000 0.0000 0.0000 1
Pm1 Pm 0.5000 0.5000 0.5000 1
Br1 Br 0.0000 0.5000 0.5000 1
```



# 8
Compound: La12DyY3
Source: Alexandria via LeMat-Bulk
Functional: PBE
Structure: optimized geometry

Computed properties:
The energy of formation is 0.007 eV per atom. The total energy comes out at -5.1884 eV per atom.

Geometry as CIF:
```
data_La12DyY3
_chemical_formula_sum 'La12 Dy1 Y3'
_space_group_name_H-M_alt 'P 4/m m m'
_space_group_IT_number 123
_space_group_name_Hall '-P 4 2'
_cell_length_a 5.2170
_cell_length_b 5.2170
_cell_length_c 20.8382
_cell_angle_alpha 90.00
_cell_angle_beta 90.00
_cell_angle_gamma 90.00
loop_
_atom_site_label
_atom_site_type_symbol
_atom_site_fract_x
_atom_site_fract_y
_atom_site_fract_z
_atom_site_occupancy
La1 La 0.0000 0.0000 0.0000 1
La2 La 0.0000 0.0000 0.2494 1
La3 La 0.0000 0.0000 0.5000 1
La4 La 0.0000 0.5000 0.1244 1
La5 La 0.0000 0.5000 0.3748 1
Dy1 Dy 0.5000 0.5000 0.0000 1
Y1 Y 0.5000 0.5000 0.2497 1
Y2 Y 0.5000 0.5000 0.5000 1
```



# 9
Compound: Y7Er3Mg
Source: Alexandria via LeMat-Bulk
Functional: PBE
Structure: optimized geometry

Computed properties:
The energy of formation is 0.207 eV per atom. The total energy comes out at -5.2962 eV per atom.

Geometry as CIF:
```
data_Y7Er3Mg
_chemical_formula_sum 'Y7 Er3 Mg1'
_space_group_name_H-M_alt 'P 3 m 1'
_space_group_IT_number 156
_space_group_name_Hall 'P 3 -2"'
_cell_length_a 7.0010
_cell_length_b 7.0010
_cell_length_c 8.5523
_cell_angle_alpha 90.00
_cell_angle_beta 90.00
_cell_angle_gamma 120.00
loop_
_atom_site_label
_atom_site_type_symbol
_atom_site_fract_x
_atom_site_fract_y
_atom_site_fract_z
_atom_site_occupancy
Y1 Y 0.0000 0.0000 0.0000 1
Y2 Y 0.1637 0.3274 0.3339 1
Y3 Y 0.5006 0.0013 0.0039 1
Er1 Er 0.3300 0.1650 0.6706 1
Mg1 Mg 0.6667 0.3333 0.3328 1
```



# 10
Compound: Sm6PbI8
Source: Alexandria via LeMat-Bulk
Functional: PBE
Structure: optimized geometry

Computed properties:
The total energy comes out at -4.0108 eV per atom. Its energy relative to the elements, uncorrected is -15.738 eV per formula unit.

Geometry as CIF:
```
data_Sm6PbI8
_chemical_formula_sum 'Sm18 Pb3 I24'
_space_group_name_H-M_alt 'R -3'
_space_group_IT_number 148
_space_group_name_Hall '-R 3'
_cell_length_a 7.6523
_cell_length_b 7.6523
_cell_length_c 34.9012
_cell_angle_alpha 90.00
_cell_angle_beta 90.00
_cell_angle_gamma 120.00
loop_
_atom_site_label
_atom_site_type_symbol
_atom_site_fract_x
_atom_site_fract_y
_atom_site_fract_z
_atom_site_occupancy
Sm1 Sm 0.0000 0.3348 0.4503 1
Pb1 Pb 0.0000 0.0000 0.5000 1
I1 I 0.0000 0.0000 0.1667 1
I2 I 0.0000 0.3300 0.6062 1
```



# 11
Compound: TiCuIO2
Source: Alexandria via LeMat-Bulk
Functional: PBE
Structure: optimized geometry

Computed properties:
The total energy comes out at -5.9878 eV per atom. Its energy relative to the elements, uncorrected is -6.481 eV per formula unit. As for the excess energy over the best structure of this formula in the dataset: 0.0 meV/atom.

Geometry as CIF:
```
data_TiCuIO2
_chemical_formula_sum 'Ti1 Cu1 I1 O2'
_space_group_name_H-M_alt 'P 4/m m m'
_space_group_IT_number 123
_space_group_name_Hall '-P 4 2'
_cell_length_a 3.7989
_cell_length_b 3.7989
_cell_length_c 6.0492
_cell_angle_alpha 90.00
_cell_angle_beta 90.00
_cell_angle_gamma 90.00
loop_
_atom_site_label
_atom_site_type_symbol
_atom_site_fract_x
_atom_site_fract_y
_atom_site_fract_z
_atom_site_occupancy
Ti1 Ti 0.0000 0.0000 0.0000 1
Cu1 Cu 0.5000 0.5000 0.5000 1
I1 I 0.0000 0.0000 0.5000 1
O1 O 0.0000 0.5000 0.0000 1
```



# 12
Compound: Nd2PaPd
Source: Alexandria via LeMat-Bulk
Functional: PBE
Structure: optimized geometry

Computed properties:
The energy of formation is -0.188 eV per atom. The total energy comes out at -6.2445 eV per atom. As for the excess energy over the best structure of this formula in the dataset: 0.0 meV/atom.

Geometry as CIF:
```
data_Nd2PaPd
_chemical_formula_sum 'Nd2 Pa1 Pd1'
_space_group_name_H-M_alt 'P 4/m m m'
_space_group_IT_number 123
_space_group_name_Hall '-P 4 2'
_cell_length_a 3.5695
_cell_length_b 3.5695
_cell_length_c 8.2656
_cell_angle_alpha 90.00
_cell_angle_beta 90.00
_cell_angle_gamma 90.00
loop_
_atom_site_label
_atom_site_type_symbol
_atom_site_fract_x
_atom_site_fract_y
_atom_site_fract_z
_atom_site_occupancy
Nd1 Nd 0.0000 0.0000 0.2211 1
Pa1 Pa 0.5000 0.5000 0.5000 1
Pd1 Pd 0.5000 0.5000 0.0000 1
```